A plane-wave DFT calculation with GGA-PBE was carried out for an optimized crystal structure of ZrInOsO6.

Calculated values
SG	P-31c, No. 163
E_form (uncorrected)	-16.24	eV per formula unit
M_tot	2.98	μB/f.u.
Fermi-level density of states	1.6	states/eV/f.u.

```
data_ZrInOsO6
_cell_length_a 5.315
_cell_length_b 5.315
_cell_length_c 9.346
_cell_angle_alpha 90.00
_cell_angle_beta 90.00
_cell_angle_gamma 120.00
_symmetry_space_group_name_H-M 'P 1'
_symmetry_Int_Tables_number 1
loop_
_symmetry_equiv_pos_as_xyz
'x,y,z'
loop_
_atom_site_label
_atom_site_type_symbol
_atom_site_fract_x
_atom_site_fract_y
_atom_site_fract_z
_atom_site_occupancy
Zr1 Zr 0.333 0.667 0.250 1
Zr2 Zr 0.667 0.333 0.750 1
In1 In 0.000 0.000 0.000 1
In2 In 0.000 0.000 0.500 1
Os1 Os 0.333 0.667 0.750 1
Os2 Os 0.667 0.333 0.250 1
O1 O 0.018 0.357 0.633 1
O2 O 0.018 0.662 0.867 1
O3 O 0.338 0.357 0.867 1
O4 O 0.338 0.982 0.633 1
O5 O 0.357 0.018 0.133 1
O6 O 0.357 0.338 0.367 1
O7 O 0.643 0.662 0.633 1
O8 O 0.643 0.982 0.867 1
O9 O 0.662 0.018 0.367 1
O10 O 0.662 0.643 0.133 1
O11 O 0.982 0.338 0.133 1
O12 O 0.982 0.643 0.367 1
```

A plane-wave DFT calculation with GGA-PBE was carried out for an optimized crystal structure of InP2O6.

Calculated values
distance to the lowest polymorph of the same formula	0.000	eV per atom
SG	C2/c, No. 15
E_form (uncorrected)	-17.08	eV per formula unit
M_tot	0.00	μB/f.u.

```
data_InP2O6
_cell_length_a 7.529
_cell_length_b 7.529
_cell_length_c 4.796
_cell_angle_alpha 107.83
_cell_angle_beta 107.83
_cell_angle_gamma 77.04
_symmetry_space_group_name_H-M 'P 1'
_symmetry_Int_Tables_number 1
loop_
_symmetry_equiv_pos_as_xyz
'x,y,z'
loop_
_atom_site_label
_atom_site_type_symbol
_atom_site_fract_x
_atom_site_fract_y
_atom_site_fract_z
_atom_site_occupancy
In1 In 0.119 0.881 0.750 1
In2 In 0.881 0.119 0.250 1
P1 P 0.228 0.419 0.769 1
P2 P 0.419 0.228 0.269 1
P3 P 0.581 0.772 0.731 1
P4 P 0.772 0.581 0.231 1
O1 O 0.068 0.305 0.659 1
O2 O 0.188 0.628 0.909 1
O3 O 0.305 0.068 0.159 1
O4 O 0.330 0.397 0.510 1
O5 O 0.372 0.812 0.591 1
O6 O 0.397 0.330 0.010 1
O7 O 0.603 0.670 0.990 1
O8 O 0.628 0.188 0.409 1
O9 O 0.670 0.603 0.490 1
O10 O 0.695 0.932 0.841 1
O11 O 0.812 0.372 0.091 1
O12 O 0.932 0.695 0.341 1
```

A plane-wave DFT calculation with GGA-PBE was carried out for an optimized crystal structure of InP2O6.

Calculated values
distance to the lowest polymorph of the same formula	0.210	eV per atom
SG	R3, No. 146
E_form (uncorrected)	-15.19	eV per formula unit
M_tot	1.00	μB/f.u.
Fermi-level density of states	1.7	states/eV/f.u.

```
data_InP2O6
_cell_length_a 6.631
_cell_length_b 6.631
_cell_length_c 6.631
_cell_angle_alpha 47.10
_cell_angle_beta 47.10
_cell_angle_gamma 47.10
_symmetry_space_group_name_H-M 'P 1'
_symmetry_Int_Tables_number 1
loop_
_symmetry_equiv_pos_as_xyz
'x,y,z'
loop_
_atom_site_label
_atom_site_type_symbol
_atom_site_fract_x
_atom_site_fract_y
_atom_site_fract_z
_atom_site_occupancy
In1 In 0.000 0.000 0.000 1
P1 P 0.600 0.600 0.600 1
P2 P 0.732 0.732 0.732 1
O1 O 0.275 0.654 0.831 1
O2 O 0.436 0.994 0.806 1
O3 O 0.654 0.831 0.275 1
O4 O 0.806 0.436 0.994 1
O5 O 0.831 0.275 0.654 1
O6 O 0.994 0.806 0.436 1
```

A plane-wave DFT calculation with GGA-PBE was carried out for an optimized crystal structure of InP2O2.

Calculated values
distance to the lowest polymorph of the same formula	0.000	eV per atom
SG	P4/mmm, No. 123
E_form (uncorrected)	-2.57	eV per formula unit
M_tot	0.00	μB/f.u.
Fermi-level density of states	1.3	states/eV/f.u.

```
data_InP2O2
_cell_length_a 3.666
_cell_length_b 3.666
_cell_length_c 4.740
_cell_angle_alpha 90.00
_cell_angle_beta 90.00
_cell_angle_gamma 90.00
_symmetry_space_group_name_H-M 'P 1'
_symmetry_Int_Tables_number 1
loop_
_symmetry_equiv_pos_as_xyz
'x,y,z'
loop_
_atom_site_label
_atom_site_type_symbol
_atom_site_fract_x
_atom_site_fract_y
_atom_site_fract_z
_atom_site_occupancy
In1 In 0.000 0.000 0.000 1
P1 P 0.500 0.500 0.000 1
P2 P 0.500 0.500 0.500 1
O1 O 0.000 0.500 0.500 1
O2 O 0.500 0.000 0.500 1
```

A plane-wave DFT calculation with GGA-PBE was carried out for an optimized crystal structure of InP2O2.

Calculated values
distance to the lowest polymorph of the same formula	0.904	eV per atom
SG	P4/mmm, No. 123
E_form (uncorrected)	1.95	eV per formula unit
M_tot	1.18	μB/f.u.
Fermi-level density of states	3.9	states/eV/f.u.

```
data_InP2O2
_cell_length_a 3.905
_cell_length_b 3.905
_cell_length_c 6.572
_cell_angle_alpha 90.00
_cell_angle_beta 90.00
_cell_angle_gamma 90.00
_symmetry_space_group_name_H-M 'P 1'
_symmetry_Int_Tables_number 1
loop_
_symmetry_equiv_pos_as_xyz
'x,y,z'
loop_
_atom_site_label
_atom_site_type_symbol
_atom_site_fract_x
_atom_site_fract_y
_atom_site_fract_z
_atom_site_occupancy
In1 In 0.000 0.000 0.000 1
P1 P 0.000 0.000 0.500 1
P2 P 0.500 0.500 0.500 1
O1 O 0.000 0.500 0.000 1
O2 O 0.500 0.000 0.000 1
```

A plane-wave DFT calculation with GGA-PBE was carried out for an optimized crystal structure of InPO3.

Calculated values
SG	Pm-3m, No. 221
E_form (uncorrected)	-4.37	eV per formula unit
M_tot	0.00	μB/f.u.
Fermi-level density of states	1.2	states/eV/f.u.

```
data_InPO3
_cell_length_a 3.725
_cell_length_b 3.725
_cell_length_c 3.725
_cell_angle_alpha 90.00
_cell_angle_beta 90.00
_cell_angle_gamma 90.00
_symmetry_space_group_name_H-M 'P 1'
_symmetry_Int_Tables_number 1
loop_
_symmetry_equiv_pos_as_xyz
'x,y,z'
loop_
_atom_site_label
_atom_site_type_symbol
_atom_site_fract_x
_atom_site_fract_y
_atom_site_fract_z
_atom_site_occupancy
In1 In 0.000 0.000 0.000 1
P1 P 0.500 0.500 0.500 1
O1 O 0.000 0.500 0.500 1
O2 O 0.500 0.000 0.500 1
O3 O 0.500 0.500 0.000 1
```

A plane-wave DFT calculation with GGA-PBE was carried out for an optimized crystal structure of InP3O9.

Calculated values
distance to the lowest polymorph of the same formula	0.004	eV per atom
SG	Cc, No. 9
E_form (uncorrected)	-26.80	eV per formula unit
M_tot	0.00	μB/f.u.
Fermi-level density of states	0.0	states/eV/f.u.

```
data_InP3O9
_cell_length_a 7.673
_cell_length_b 7.673
_cell_length_c 9.846
_cell_angle_alpha 123.09
_cell_angle_beta 123.09
_cell_angle_gamma 51.72
_symmetry_space_group_name_H-M 'P 1'
_symmetry_Int_Tables_number 1
loop_
_symmetry_equiv_pos_as_xyz
'x,y,z'
loop_
_atom_site_label
_atom_site_type_symbol
_atom_site_fract_x
_atom_site_fract_y
_atom_site_fract_z
_atom_site_occupancy
In1 In 0.237 0.763 0.500 1
In2 In 0.763 0.237 0.000 1
P1 P 0.042 0.248 0.830 1
P2 P 0.248 0.042 0.330 1
P3 P 0.269 0.440 0.670 1
P4 P 0.440 0.269 0.170 1
P5 P 0.673 0.815 0.232 1
P6 P 0.815 0.673 0.732 1
O1 O 0.000 0.524 0.630 1
O2 O 0.086 0.181 0.208 1
O3 O 0.160 0.917 0.334 1
O4 O 0.181 0.086 0.708 1
O5 O 0.202 0.336 0.018 1
O6 O 0.288 0.614 0.658 1
O7 O 0.336 0.202 0.518 1
O8 O 0.382 0.412 0.334 1
O9 O 0.412 0.382 0.834 1
O10 O 0.491 0.855 0.291 1
O11 O 0.524 0.000 0.130 1
O12 O 0.580 0.738 0.600 1
O13 O 0.614 0.288 0.158 1
O14 O 0.738 0.580 0.100 1
O15 O 0.855 0.491 0.791 1
O16 O 0.863 0.867 0.390 1
O17 O 0.867 0.863 0.890 1
O18 O 0.917 0.160 0.834 1
```

A plane-wave DFT calculation with GGA-PBE was carried out for an optimized crystal structure of In3P2O8.

Calculated values
SG	I-43d, No. 220
E_form (uncorrected)	-24.30	eV per formula unit
M_tot	0.00	μB/f.u.
Fermi-level density of states	0.0	states/eV/f.u.

```
data_In3P2O8
_cell_length_a 9.802
_cell_length_b 9.802
_cell_length_c 9.802
_cell_angle_alpha 109.47
_cell_angle_beta 109.47
_cell_angle_gamma 109.47
_symmetry_space_group_name_H-M 'P 1'
_symmetry_Int_Tables_number 1
loop_
_symmetry_equiv_pos_as_xyz
'x,y,z'
loop_
_atom_site_label
_atom_site_type_symbol
_atom_site_fract_x
_atom_site_fract_y
_atom_site_fract_z
_atom_site_occupancy
In1 In 0.005 0.755 0.250 1
In2 In 0.245 0.995 0.250 1
In3 In 0.250 0.005 0.755 1
In4 In 0.250 0.245 0.995 1
In5 In 0.255 0.505 0.750 1
In6 In 0.495 0.745 0.750 1
In7 In 0.505 0.750 0.255 1
In8 In 0.745 0.750 0.495 1
In9 In 0.750 0.255 0.505 1
In10 In 0.750 0.495 0.745 1
In11 In 0.755 0.250 0.005 1
In12 In 0.995 0.250 0.245 1
P1 P 0.000 0.092 0.500 1
P2 P 0.000 0.592 0.500 1
P3 P 0.092 0.500 0.000 1
P4 P 0.408 0.408 0.408 1
P5 P 0.500 0.000 0.092 1
P6 P 0.500 0.000 0.592 1
P7 P 0.592 0.500 0.000 1
P8 P 0.908 0.908 0.908 1
O1 O 0.000 0.430 0.500 1
O2 O 0.000 0.930 0.500 1
O3 O 0.005 0.588 0.343 1
O4 O 0.070 0.070 0.070 1
O5 O 0.082 0.337 0.995 1
O6 O 0.088 0.505 0.843 1
O7 O 0.157 0.745 0.663 1
O8 O 0.163 0.245 0.657 1
O9 O 0.245 0.657 0.163 1
O10 O 0.255 0.418 0.412 1
O11 O 0.337 0.995 0.082 1
O12 O 0.343 0.005 0.588 1
O13 O 0.412 0.255 0.418 1
O14 O 0.418 0.412 0.255 1
O15 O 0.430 0.500 0.000 1
O16 O 0.495 0.837 0.582 1
O17 O 0.500 0.000 0.430 1
O18 O 0.500 0.000 0.930 1
O19 O 0.505 0.843 0.088 1
O20 O 0.570 0.570 0.570 1
O21 O 0.582 0.495 0.837 1
O22 O 0.588 0.343 0.005 1
O23 O 0.657 0.163 0.245 1
O24 O 0.663 0.157 0.745 1
O25 O 0.745 0.663 0.157 1
O26 O 0.755 0.912 0.918 1
O27 O 0.837 0.582 0.495 1
O28 O 0.843 0.088 0.505 1
O29 O 0.912 0.918 0.755 1
O30 O 0.918 0.755 0.912 1
O31 O 0.930 0.500 0.000 1
O32 O 0.995 0.082 0.337 1
```

A plane-wave DFT calculation with GGA-PBE was carried out for an optimized crystal structure of In2P2O7.

Calculated values
SG	P2_1/c, No. 14
E_form (uncorrected)	-21.30	eV per formula unit
M_tot	0.00	μB/f.u.
Fermi-level density of states	0.0	states/eV/f.u.

```
data_In2P2O7
_cell_length_a 7.658
_cell_length_b 10.620
_cell_length_c 8.611
_cell_angle_alpha 90.00
_cell_angle_beta 106.39
_cell_angle_gamma 90.00
_symmetry_space_group_name_H-M 'P 1'
_symmetry_Int_Tables_number 1
loop_
_symmetry_equiv_pos_as_xyz
'x,y,z'
loop_
_atom_site_label
_atom_site_type_symbol
_atom_site_fract_x
_atom_site_fract_y
_atom_site_fract_z
_atom_site_occupancy
In1 In 0.171 0.180 0.065 1
In2 In 0.171 0.320 0.565 1
In3 In 0.239 0.601 0.258 1
In4 In 0.239 0.899 0.758 1
In5 In 0.761 0.101 0.242 1
In6 In 0.761 0.399 0.742 1
In7 In 0.829 0.680 0.435 1
In8 In 0.829 0.820 0.935 1
P1 P 0.130 0.598 0.825 1
P2 P 0.130 0.902 0.325 1
P3 P 0.436 0.635 0.691 1
P4 P 0.436 0.865 0.191 1
P5 P 0.564 0.135 0.809 1
P6 P 0.564 0.365 0.309 1
P7 P 0.870 0.098 0.675 1
P8 P 0.870 0.402 0.175 1
O1 O 0.007 0.004 0.221 1
O2 O 0.007 0.496 0.721 1
O3 O 0.073 0.729 0.750 1
O4 O 0.073 0.771 0.250 1
O5 O 0.135 0.592 0.001 1
O6 O 0.135 0.908 0.501 1
O7 O 0.317 0.604 0.521 1
O8 O 0.317 0.896 0.021 1
O9 O 0.334 0.569 0.814 1
O10 O 0.334 0.931 0.314 1
O11 O 0.374 0.077 0.765 1
O12 O 0.374 0.423 0.265 1
O13 O 0.455 0.724 0.234 1
O14 O 0.455 0.776 0.734 1
O15 O 0.545 0.224 0.266 1
O16 O 0.545 0.276 0.766 1
O17 O 0.626 0.577 0.735 1
O18 O 0.626 0.923 0.235 1
O19 O 0.666 0.069 0.686 1
O20 O 0.666 0.431 0.186 1
O21 O 0.683 0.104 0.979 1
O22 O 0.683 0.396 0.479 1
O23 O 0.865 0.092 0.499 1
O24 O 0.865 0.408 0.999 1
O25 O 0.927 0.229 0.750 1
O26 O 0.927 0.271 0.250 1
O27 O 0.993 0.504 0.279 1
O28 O 0.993 0.996 0.779 1
```

A plane-wave DFT calculation with GGA-PBE was carried out for an optimized crystal structure of In2PO.

Calculated values
distance to the lowest polymorph of the same formula	0.000	eV per atom
SG	I-42d, No. 122
E_form (uncorrected)	-2.14	eV per formula unit
M_tot	0.00	μB/f.u.
Fermi-level density of states	1.7	states/eV/f.u.

```
data_In2PO
_cell_length_a 6.982
_cell_length_b 6.982
_cell_length_c 6.982
_cell_angle_alpha 133.79
_cell_angle_beta 133.79
_cell_angle_gamma 67.41
_symmetry_space_group_name_H-M 'P 1'
_symmetry_Int_Tables_number 1
loop_
_symmetry_equiv_pos_as_xyz
'x,y,z'
loop_
_atom_site_label
_atom_site_type_symbol
_atom_site_fract_x
_atom_site_fract_y
_atom_site_fract_z
_atom_site_occupancy
In1 In 0.076 0.625 0.951 1
In2 In 0.375 0.326 0.451 1
In3 In 0.674 0.125 0.049 1
In4 In 0.875 0.924 0.549 1
P1 P 0.250 0.750 0.500 1
P2 P 0.500 0.500 0.000 1
O1 O 0.000 0.000 0.000 1
O2 O 0.750 0.250 0.500 1
```

A plane-wave DFT calculation with GGA-PBE was carried out for an optimized crystal structure of InP2O2.

Calculated values
distance to the lowest polymorph of the same formula	1.749	eV per atom
SG	P4/mmm, No. 123
E_form (uncorrected)	6.18	eV per formula unit
M_tot	0.00	μB/f.u.
Fermi-level density of states	4.9	states/eV/f.u.

```
data_InP2O2
_cell_length_a 5.153
_cell_length_b 5.153
_cell_length_c 4.017
_cell_angle_alpha 90.00
_cell_angle_beta 90.00
_cell_angle_gamma 90.00
_symmetry_space_group_name_H-M 'P 1'
_symmetry_Int_Tables_number 1
loop_
_symmetry_equiv_pos_as_xyz
'x,y,z'
loop_
_atom_site_label
_atom_site_type_symbol
_atom_site_fract_x
_atom_site_fract_y
_atom_site_fract_z
_atom_site_occupancy
In1 In 0.000 0.000 0.000 1
P1 P 0.000 0.500 0.000 1
P2 P 0.500 0.000 0.000 1
O1 O 0.000 0.000 0.500 1
O2 O 0.500 0.500 0.500 1
```

A plane-wave DFT calculation with GGA-PBE was carried out for an optimized crystal structure of In2PO.

Calculated values
distance to the lowest polymorph of the same formula	0.521	eV per atom
SG	Fm-3m, No. 225
E_form (uncorrected)	-0.06	eV per formula unit
M_tot	0.00	μB/f.u.
Fermi-level density of states	1.3	states/eV/f.u.

```
data_In2PO
_cell_length_a 4.584
_cell_length_b 4.584
_cell_length_c 4.584
_cell_angle_alpha 60.00
_cell_angle_beta 60.00
_cell_angle_gamma 60.00
_symmetry_space_group_name_H-M 'P 1'
_symmetry_Int_Tables_number 1
loop_
_symmetry_equiv_pos_as_xyz
'x,y,z'
loop_
_atom_site_label
_atom_site_type_symbol
_atom_site_fract_x
_atom_site_fract_y
_atom_site_fract_z
_atom_site_occupancy
In1 In 0.250 0.250 0.250 1
In2 In 0.750 0.750 0.750 1
P1 P 0.000 0.000 0.000 1
O1 O 0.500 0.500 0.500 1
```

Question: Which of these has the highest E_form (uncorrected)?
Answer: number 11